# 1
Li3Ac2YBi4 after structural relaxation, computed with PBE-GGA.

As for the formation enthalpy at 0 K: -0.628 eV per atom. The calculation puts the volume at 29.0 Å³ per atom. Its crystal system is tetragonal.

The structure belongs to space group P-4m2 (No. 115); the cell edges are 4.8911, 4.8911 and 12.1417 Å and the angles 90.00°, 90.00° and 90.00°. The asymmetric unit holds Li at (0.0000, 0.0000, 0.0000), Li at (0.0000, 0.5000, 0.6147), Ac at (0.0000, 0.5000, 0.2744), Y at (0.5000, 0.5000, 0.0000), Bi at (0.0000, 0.0000, 0.5000), Bi at (0.0000, 0.5000, 0.8387) and Bi at (0.5000, 0.5000, 0.5000).

***

# 2
CaRe2Pt after structural relaxation, computed with PBE-GGA.

As for the formation enthalpy at 0 K: 0.412 eV per atom. The calculation puts the volume at 17.1 Å³ per atom. Its crystal system is tetragonal. The calculation puts the energy above the most stable polymorph in this dataset at 322 meV per atom.

The structure belongs to space group P4/mmm (No. 123); the cell edges are 2.7260, 2.7260 and 9.2065 Å and the angles 90.00°, 90.00° and 90.00°. The asymmetric unit holds Ca at (0.0000, 0.0000, 0.0000), Re at (0.5000, 0.5000, 0.2766) and Pt at (0.0000, 0.0000, 0.5000).

***

# 3
ScTa2Hg after structural relaxation, computed with PBE-GGA.

As for the formation enthalpy at 0 K: 0.266 eV per atom. The calculation puts the volume at 19.9 Å³ per atom. Its crystal system is orthorhombic.

The structure belongs to space group Pmmm (No. 47); the cell edges are 2.9605, 4.6575 and 5.7774 Å and the angles 90.00°, 90.00° and 90.00°. The asymmetric unit holds Sc at (0.0000, 0.0000, 0.0000), Ta at (0.5000, 0.5000, 0.2375) and Hg at (0.0000, 0.0000, 0.5000).

***

# 4
La4Tb3Dy8 after structural relaxation, computed with PBE-GGA.

As for the formation enthalpy at 0 K: 0.111 eV per atom. The calculation puts the volume at 33.9 Å³ per atom. Its crystal system is trigonal.

The structure belongs to space group R-3m (No. 166, hexagonal axes); the cell edges are 7.0062, 7.0062 and 35.8611 Å and the angles 90.00°, 90.00° and 120.00°. The asymmetric unit holds La at (0.0000, 0.0000, 0.0000), La at (0.0000, 0.0000, 0.1634), La at (0.0000, 0.0000, 0.5000), Tb at (0.0000, 0.5000, 0.0000), Dy at (0.0000, 0.0000, 0.2554) and Dy at (0.0020, 0.5010, 0.2516).

***

# 5
CaAcTlAg after structural relaxation, computed with PBE-GGA.

As for the formation enthalpy at 0 K: -0.356 eV per atom. The calculation puts the volume at 30.6 Å³ per atom. Its crystal system is cubic.

The structure belongs to space group F-43m (No. 216); the cell edges are 7.8825, 7.8825 and 7.8825 Å and the angles 90.00°, 90.00° and 90.00°. The asymmetric unit holds Ca at (0.0000, 0.0000, 0.0000), Ac at (0.0000, 0.0000, 0.5000), Tl at (0.2500, 0.2500, 0.7500) and Ag at (0.2500, 0.2500, 0.2500).

***

# 6
InSn5Ir3 after structural relaxation, computed with PBE-GGA.

As for the formation enthalpy at 0 K: -0.184 eV per atom. The calculation puts the volume at 25.4 Å³ per atom. Its crystal system is monoclinic.

The structure belongs to space group C2/m (No. 12); the cell edges are 11.7888, 8.9555 and 9.7731 Å and the angles 90.00°, 117.80° and 90.00°. The asymmetric unit holds In at (0.1048, 0.0000, 0.3105), Sn at (0.0000, 0.2923, 0.0000), Sn at (0.0762, 0.5000, 0.3600), Sn at (0.1606, 0.2082, 0.6682), Sn at (0.2340, 0.0000, 0.0307), Ir at (0.0000, 0.0000, 0.0000), Ir at (0.0000, 0.0000, 0.5000), Ir at (0.1542, 0.5000, 0.6620) and Ir at (0.1701, 0.5000, 0.1651).

***

The following E values (in eV per atom) correspond, in order, to the records above: -4.222; -7.823; -7.319; -4.584; -3.187; -5.665.